Li2YTe | GGA-PBE | relaxed

Output
Final energy ... -3.815 eV/atom
Relative energy among the computed polymorphs ... 12.6 kJ per mole of atoms
Energy relative to the elements, uncorrected ... -1.83 eV per formula unit
DOS at the Fermi energy ... 3.4 states/eV/cell
Crystal system ... tetragonal

Geometry as POSCAR:
```
Li2YTe
1.0
5.7336 0.0978 0.0000
2.3754 5.2193 0.0000
-4.0545 -2.6586 3.0622
Li Y Te
2 1 1
Direct
0.0000 0.0000 0.0000
0.2500 0.7500 0.5000
0.7500 0.2500 0.5000
0.5000 0.5000 0.0000
```